[1]
## LiCaW2 (PBE-GGA)

Data for crystalline LiCaW2 at its relaxed geometry.

a = 2.6823 Å, b = 5.1583 Å, c = 5.3577 Å
α = 90.00°, β = 90.00°, γ = 90.00°
With the nearest neighbours (Å) after each atom.
Atoms (fractional coordinates):
Li: 0.0000 0.0000 0.0000  2 Ca 2.68, 2 Li 2.68
Ca: 0.0000 0.0000 0.5000  2 Li 2.68, 2 Ca 2.68
W: 0.5000 0.5000 0.2528  4 W 2.65-2.71
W: 0.5000 0.5000 0.7472  4 W 2.65-2.71

Density of states at the Fermi level ... 5.54 states/eV/cell
Total moment ... 0.000 μB per atom
Density ... 9.290 g/cm3
Raw total energy ... -26.5 eV/cell
Symmetry ... No. 47
ΔE_f ... 0.825 eV per atom

[2]
## HfPdI3 (PBE-GGA)

Data for crystalline HfPdI3 at its relaxed geometry.

a = 5.4054 Å, b = 5.4054 Å, c = 5.4054 Å
α = 90.00°, β = 90.00°, γ = 90.00°
With the nearest neighbours (Å) after each atom.
Atoms (fractional coordinates):
Hf: 0.0000 0.0000 0.0000  12 I 3.82
Pd: 0.5000 0.5000 0.5000  6 I 2.70
I: 0.0000 0.5000 0.5000  2 Pd 2.70
I: 0.5000 0.0000 0.5000  2 Pd 2.70
I: 0.5000 0.5000 0.0000  2 Pd 2.70

Uncorrected formation energy ... 0.537 eV/atom
Density of states at the Fermi level ... 7.04 states/eV/cell
Total moment ... 0.319 μB per atom
Density ... 6.998 g/cm3
Raw total energy ... -17.1 eV/cell
Symmetry ... No. 221

[3]
## CaTlTe4 (PBE-GGA)

Data for crystalline CaTlTe4 at its relaxed geometry.

a = 6.5232 Å, b = 6.5232 Å, c = 6.5232 Å
α = 60.00°, β = 60.00°, γ = 60.00°
With the nearest neighbours (Å) after each atom.
Atoms (fractional coordinates):
Ca: 0.0000 0.0000 0.0000  12 Te 3.82, 4 Tl 3.99
Tl: 0.2500 0.2500 0.2500  12 Te 3.83, 4 Ca 3.99
Te: 0.1241 0.6253 0.6253  6 Te 3.25-3.27
Te: 0.6253 0.1241 0.6253  6 Te 3.25-3.27
Te: 0.6253 0.6253 0.1241  6 Te 3.25-3.27
Te: 0.6253 0.6253 0.6253  6 Te 3.25-3.27

Uncorrected formation energy ... -0.141 eV/atom
Density of states at the Fermi level ... 3.65 states/eV/cell
Total moment ... 0.000 μB per atom
Density ... 6.386 g/cm3
Raw total energy ... -17.8 eV/cell
Symmetry ... No. 216

[4]
## ScFe6P6 (PBE-GGA)

Data for crystalline ScFe6P6 at its relaxed geometry.

a = 4.9941 Å, b = 4.9941 Å, c = 7.0647 Å
α = 90.00°, β = 90.00°, γ = 120.00°
With the nearest neighbours (Å) after each atom.
Atoms (fractional coordinates):
Sc: 0.0000 0.0000 0.0000  2 P 2.38
Fe: 0.0000 0.5000 0.2568  4 P 2.24-2.32, 4 Fe 2.50
Fe: 0.0000 0.5000 0.7432  4 P 2.24-2.32, 4 Fe 2.50
Fe: 0.5000 0.0000 0.2568  4 P 2.24-2.32, 4 Fe 2.50
Fe: 0.5000 0.0000 0.7432  4 P 2.24-2.32, 4 Fe 2.50
Fe: 0.5000 0.5000 0.2568  4 P 2.24-2.32, 4 Fe 2.50
Fe: 0.5000 0.5000 0.7432  4 P 2.24-2.32, 4 Fe 2.50
P: 0.0000 0.0000 0.3370  1 P 2.30, 1 Sc 2.38, 6 Fe 2.56
P: 0.0000 0.0000 0.6630  1 P 2.30, 1 Sc 2.38, 6 Fe 2.56
P: 0.3333 0.6667 0.0000  6 Fe 2.32
P: 0.3333 0.6667 0.5000  6 Fe 2.24
P: 0.6667 0.3333 0.0000  6 Fe 2.32
P: 0.6667 0.3333 0.5000  6 Fe 2.24

Density of states at the Fermi level ... 10.38 states/eV/cell
Total moment ... 0.069 μB per atom
Density ... 6.158 g/cm3
Raw total energy ... -95.6 eV/cell
Symmetry ... No. 191
ΔE_f ... -0.465 eV per atom

[5]
## LaMoBr2 (PBE-GGA)

Data for crystalline LaMoBr2 at its relaxed geometry.

a = 7.4575 Å, b = 7.4575 Å, c = 7.4575 Å
α = 152.30°, β = 141.85°, γ = 47.80°
With the nearest neighbours (Å) after each atom.
Atoms (fractional coordinates):
La: 0.0000 0.0000 0.0000  4 Mo 3.02, 4 Br 3.16
Mo: 0.5000 0.5000 0.0000  4 Br 2.69
Br: 0.3528 0.8528 0.5000  2 Mo 2.69
Br: 0.6472 0.1472 0.5000  2 Mo 2.69

Uncorrected formation energy ... -0.442 eV/atom
Density of states at the Fermi level ... 2.98 states/eV/cell
Total moment ... 0.087 μB per atom
Density ... 5.523 g/cm3
Raw total energy ... -20.9 eV/cell
Symmetry ... No. 71

[6]
## Ce3Zn9Ge2 (PBE-GGA)

Data for crystalline Ce3Zn9Ge2 at its relaxed geometry.

a = 8.2385 Å, b = 8.2385 Å, c = 8.2385 Å
α = 148.85°, β = 110.15°, γ = 78.45°
With the nearest neighbours (Å) after each atom.
Atoms (fractional coordinates):
Ce: 0.0000 0.0000 0.0000  12 Zn 3.19-3.26, 4 Ge 3.52
Ce: 0.3109 0.3109 0.0000  2 Ge 3.12, 12 Zn 3.12-3.32
Ce: 0.6891 0.6891 0.0000  2 Ge 3.12, 12 Zn 3.12-3.32
Zn: 0.0294 0.6605 0.3690  4 Zn 2.47-2.62, 1 Ge 2.54
Zn: 0.1267 0.8532 0.2735  4 Zn 2.59-2.84, 2 Ge 2.90
Zn: 0.2915 0.6605 0.6310  4 Zn 2.47-2.62, 1 Ge 2.54
Zn: 0.4202 0.1468 0.2735  4 Zn 2.59-2.84, 2 Ge 2.90
Zn: 0.5000 0.0000 0.5000  4 Zn 2.84, 4 Ge 2.97
Zn: 0.5798 0.8532 0.7265  4 Zn 2.59-2.84, 2 Ge 2.90
Zn: 0.7085 0.3395 0.3690  4 Zn 2.47-2.62, 1 Ge 2.54
Zn: 0.8733 0.1468 0.7265  4 Zn 2.59-2.84, 2 Ge 2.90
Zn: 0.9706 0.3395 0.6310  4 Zn 2.47-2.62, 1 Ge 2.54
Ge: 0.2901 0.5000 0.7901  2 Zn 2.54
Ge: 0.7099 0.5000 0.2099  2 Zn 2.54

Density of states at the Fermi level ... 17.70 states/eV/cell
Total moment ... 0.143 μB per atom
Density ... 7.196 g/cm3
Raw total energy ... -42.7 eV/cell
Symmetry ... No. 71
ΔE_f ... -0.300 eV per atom

[7]
## CaTl3H (PBE-GGA)

Data for crystalline CaTl3H at its relaxed geometry.

a = 4.9735 Å, b = 4.9735 Å, c = 4.9735 Å
α = 90.00°, β = 90.00°, γ = 90.00°
With the nearest neighbours (Å) after each atom.
Atoms (fractional coordinates):
Ca: 0.0000 0.0000 0.0000  12 Tl 3.52
Tl: 0.0000 0.5000 0.5000  2 H 2.49
Tl: 0.5000 0.0000 0.5000  2 H 2.49
Tl: 0.5000 0.5000 0.0000  2 H 2.49
H: 0.5000 0.5000 0.5000  6 Tl 2.49

Density of states at the Fermi level ... 4.87 states/eV/cell
Total moment ... 0.000 μB per atom
Density ... 8.831 g/cm3
Raw total energy ... -12.2 eV/cell
Symmetry ... No. 221

[8]
## NdYCo (PBE-GGA)

Data for crystalline NdYCo at its relaxed geometry.

a = 4.7744 Å, b = 4.7744 Å, c = 4.7744 Å
α = 60.00°, β = 60.00°, γ = 60.00°
With the nearest neighbours (Å) after each atom.
Atoms (fractional coordinates):
Nd: 0.0000 0.0000 0.0000  4 Co 2.92
Y: 0.5000 0.5000 0.5000  4 Co 2.92
Co: 0.2500 0.2500 0.2500  4 Nd 2.92, 4 Y 2.92

Density of states at the Fermi level ... 3.11 states/eV/cell
Total moment ... 0.000 μB per atom
Density ... 6.302 g/cm3
Raw total energy ... -18.3 eV/cell
Symmetry ... No. 216
ΔE_f ... 0.022 eV per atom

[9]
## Y2ZnPtC (PBE-GGA)

Data for crystalline Y2ZnPtC at its relaxed geometry.

a = 4.9308 Å, b = 4.9308 Å, c = 3.8846 Å
α = 90.00°, β = 90.00°, γ = 90.00°
With the nearest neighbours (Å) after each atom.
Atoms (fractional coordinates):
Y: 0.0000 0.5000 0.0000  2 C 2.47
Y: 0.5000 0.0000 0.0000  2 C 2.47
Zn: 0.0000 0.0000 0.5000  2 C 1.94
Pt: 0.5000 0.5000 0.5000  8 Y 3.14, 4 Zn 3.49
C: 0.0000 0.0000 0.0000  2 Zn 1.94

Density of states at the Fermi level ... 2.95 states/eV/cell
Total moment ... 0.000 μB per atom
Density ... 7.917 g/cm3
Raw total energy ... -32.0 eV/cell
Symmetry ... No. 123
ΔE_f ... -0.497 eV per atom

[10]
## Tb2Pb2N (PBE-GGA)

Data for crystalline Tb2Pb2N at its relaxed geometry.

a = 11.1463 Å, b = 11.1463 Å, c = 11.1463 Å
α = 18.36°, β = 18.36°, γ = 18.36°
With the nearest neighbours (Å) after each atom.
Atoms (fractional coordinates):
Tb: 0.2070 0.2070 0.2070  3 N 2.45
Tb: 0.7930 0.7930 0.7930  3 N 2.45
Pb: 0.0463 0.0463 0.0463  1 Pb 3.04, 3 Tb 3.34
Pb: 0.9537 0.9537 0.9537  1 Pb 3.04, 3 Tb 3.34
N: 0.5000 0.5000 0.5000  6 Tb 2.45

Uncorrected formation energy ... -0.786 eV/atom
Density of states at the Fermi level ... 2.02 states/eV/cell
Total moment ... 0.000 μB per atom
Density ... 10.322 g/cm3
Raw total energy ... -28.9 eV/cell
Symmetry ... No. 166

[11]
## Ho7Pd3 (PBE-GGA)

Data for crystalline Ho7Pd3 at its relaxed geometry.

a = 9.8639 Å, b = 9.8639 Å, c = 6.2436 Å
α = 90.00°, β = 90.00°, γ = 120.00°
With the nearest neighbours (Å) after each atom.
Atoms (fractional coordinates):
Ho: 0.0796 0.5398 0.0000  2 Pd 2.85
Ho: 0.1256 0.2512 0.6987  3 Pd 2.89-2.93
Ho: 0.1256 0.8744 0.6987  3 Pd 2.89-2.93
Ho: 0.2512 0.1256 0.1987  3 Pd 2.89-2.93
Ho: 0.3333 0.6667 0.5074  3 Pd 2.88
Ho: 0.4602 0.5398 0.0000  2 Pd 2.85
Ho: 0.4602 0.9204 0.0000  2 Pd 2.85
Ho: 0.5398 0.0796 0.5000  2 Pd 2.85
Ho: 0.5398 0.4602 0.5000  2 Pd 2.85
Ho: 0.6667 0.3333 0.0074  3 Pd 2.88
Ho: 0.7488 0.8744 0.6987  3 Pd 2.89-2.93
Ho: 0.8744 0.1256 0.1987  3 Pd 2.89-2.93
Ho: 0.8744 0.7488 0.1987  3 Pd 2.89-2.93
Ho: 0.9204 0.4602 0.5000  2 Pd 2.85
Pd: 0.1903 0.3806 0.2643  6 Ho 2.85-2.93
Pd: 0.1903 0.8097 0.2643  6 Ho 2.85-2.93
Pd: 0.3806 0.1903 0.7643  6 Ho 2.85-2.93
Pd: 0.6194 0.8097 0.2643  6 Ho 2.85-2.93
Pd: 0.8097 0.1903 0.7643  6 Ho 2.85-2.93
Pd: 0.8097 0.6194 0.7643  6 Ho 2.85-2.93

Density of states at the Fermi level ... 26.74 states/eV/cell
Total moment ... 0.174 μB per atom
Density ... 9.304 g/cm3
Raw total energy ... -106.5 eV/cell
Symmetry ... No. 186
ΔE_f ... -0.563 eV per atom

[12]
## Y2Zn7Ag (PBE-GGA)

Data for crystalline Y2Zn7Ag at its relaxed geometry.

a = 4.1216 Å, b = 4.1216 Å, c = 10.9716 Å
α = 90.00°, β = 90.00°, γ = 90.00°
With the nearest neighbours (Å) after each atom.
Atoms (fractional coordinates):
Y: 0.0000 0.5000 0.2409  14 Zn 3.14-3.51, 2 Ag 3.51
Y: 0.5000 0.0000 0.7591  14 Zn 3.14-3.51, 2 Ag 3.51
Zn: 0.0000 0.0000 0.0000  4 Zn 2.53
Zn: 0.0000 0.5000 0.6458  3 Zn 2.42-2.61, 2 Ag 2.61
Zn: 0.0000 0.5000 0.8667  5 Zn 2.42-2.53
Zn: 0.5000 0.0000 0.1333  5 Zn 2.42-2.53
Zn: 0.5000 0.0000 0.3542  3 Zn 2.42-2.61, 2 Ag 2.61
Zn: 0.5000 0.5000 0.0000  4 Zn 2.53
Zn: 0.5000 0.5000 0.5000  4 Zn 2.61, 4 Ag 2.91
Ag: 0.0000 0.0000 0.5000  8 Zn 2.61-2.91

Density of states at the Fermi level ... 3.65 states/eV/cell
Total moment ... 0.000 μB per atom
Density ... 6.624 g/cm3
Raw total energy ... -27.6 eV/cell
Symmetry ... No. 115
ΔE_f ... -0.291 eV per atom